No. 1
! CdIr (GGA-PBE, optimized geometry); values from VASP
&SYSTEM
  ibrav = 0, nat = 12, ntyp = 2
/
ATOMIC_SPECIES
Cd 112.41 Cd.upf
Ir 192.22 Ir.upf
CELL_PARAMETERS angstrom
-1.683 -4.871 5.412
-0.361 -5.492 -5.056
7.272 -1.400 1.001
ATOMIC_POSITIONS crystal
Cd 0.250 0.000 0.500
Cd 0.750 0.000 0.500
Cd 0.000 0.500 0.250
Cd 0.000 0.500 0.750
Cd 0.500 0.250 0.000
Cd 0.500 0.750 0.000
Ir 0.250 0.500 0.000
Ir 0.750 0.500 0.000
Ir 0.500 0.000 0.250
Ir 0.500 0.000 0.750
Ir 0.000 0.250 0.500
Ir 0.000 0.750 0.500
! Energy of formation in meV per atom: 1740
! Crystal system: cubic

---

No. 2
! NiOsI3 (GGA-PBE, optimized geometry); values from VASP
&SYSTEM
  ibrav = 0, nat = 5, ntyp = 3
/
ATOMIC_SPECIES
I 126.90 I.upf
Ni 58.69 Ni.upf
Os 190.23 Os.upf
CELL_PARAMETERS angstrom
5.395 0.000 0.000
0.000 5.395 0.000
0.000 0.000 5.395
ATOMIC_POSITIONS crystal
I 0.000 0.500 0.000
I 0.000 0.000 0.500
I 0.500 0.000 0.000
Ni 0.500 0.500 0.500
Os 0.000 0.000 0.000
! Crystal system: cubic
! Electronic total energy in eV/atom: -3.0978

---

No. 3
! KTaW2 (GGA-PBE, optimized geometry); values from VASP
&SYSTEM
  ibrav = 0, nat = 4, ntyp = 3
/
ATOMIC_SPECIES
K 39.10 K.upf
Ta 180.95 Ta.upf
W 183.84 W.upf
CELL_PARAMETERS angstrom
-2.822 -1.211 -1.745
-1.328 -1.258 3.021
-3.793 7.028 1.258
ATOMIC_POSITIONS crystal
K 0.500 0.500 0.250
Ta 0.500 0.500 0.750
W 0.000 0.000 0.896
W 0.000 0.000 0.604
! Energy of formation in meV per atom: 992
! Crystal system: tetragonal
! ΔE to the lowest computed polymorph in eV/atom: 0.2686

---

No. 4
! Cd2Sb2P (GGA-PBE, optimized geometry); values from VASP
&SYSTEM
  ibrav = 0, nat = 10, ntyp = 3
/
ATOMIC_SPECIES
Sb 121.76 Sb.upf
P 30.97 P.upf
Cd 112.41 Cd.upf
CELL_PARAMETERS angstrom
7.646 0.000 0.000
0.000 7.646 0.000
0.000 0.000 4.474
ATOMIC_POSITIONS crystal
Sb 0.308 0.808 0.000
Sb 0.808 0.692 0.000
Sb 0.692 0.192 0.000
Sb 0.192 0.308 0.000
P 0.000 0.000 0.000
P 0.500 0.500 0.000
Cd 0.133 0.633 0.500
Cd 0.633 0.867 0.500
Cd 0.867 0.367 0.500
Cd 0.367 0.133 0.500
! Crystal system: tetragonal
! Electronic total energy in eV/atom: -2.7975

---

No. 5
! Pm2Dy3Sb3 (GGA-PBE, optimized geometry); values from VASP
&SYSTEM
  ibrav = 0, nat = 16, ntyp = 3
/
ATOMIC_SPECIES
Pm 145.00 Pm.upf
Dy 162.50 Dy.upf
Sb 121.76 Sb.upf
CELL_PARAMETERS angstrom
-5.226 -3.229 1.631
4.890 -7.687 0.447
-0.933 5.249 7.401
ATOMIC_POSITIONS crystal
Pm 0.000 0.333 0.667
Pm 0.500 0.667 0.333
Pm 0.000 0.667 0.333
Pm 0.500 0.333 0.667
Dy 0.750 0.247 0.000
Dy 0.750 0.753 0.753
Dy 0.750 0.000 0.247
Dy 0.250 0.753 0.000
Dy 0.250 0.247 0.247
Dy 0.250 0.000 0.753
Sb 0.750 0.617 0.000
Sb 0.750 0.383 0.383
Sb 0.750 0.000 0.617
Sb 0.250 0.383 0.000
Sb 0.250 0.617 0.617
Sb 0.250 0.000 0.383
! Crystal system: hexagonal
! Electronic total energy in eV/atom: -5.3889

---

No. 6
! Tm6CuTe3S2 (GGA-PBE, optimized geometry); values from VASP
&SYSTEM
  ibrav = 0, nat = 12, ntyp = 4
/
ATOMIC_SPECIES
Tm 168.93 Tm.upf
Cu 63.55 Cu.upf
Te 127.60 Te.upf
S 32.06 S.upf
CELL_PARAMETERS angstrom
7.041 0.002 0.002
-3.517 6.100 0.002
-1.174 -2.032 6.896
ATOMIC_POSITIONS crystal
Tm 0.930 0.606 0.790
Tm 0.746 0.746 0.213
Tm 0.070 0.394 0.210
Tm 0.606 0.930 0.790
Tm 0.254 0.254 0.787
Tm 0.394 0.070 0.210
Cu 0.000 0.000 0.000
Te 0.172 0.828 0.500
Te 0.828 0.172 0.500
Te 0.500 0.500 0.500
S 0.335 0.665 0.000
S 0.665 0.335 0.000
! Crystal system: monoclinic
! Electronic total energy in eV/atom: -5.3539

---

No. 7
! NpTaAs2 (GGA-PBE, optimized geometry); values from VASP
&SYSTEM
  ibrav = 0, nat = 4, ntyp = 3
/
ATOMIC_SPECIES
Np 237.00 Np.upf
As 74.92 As.upf
Ta 180.95 Ta.upf
CELL_PARAMETERS angstrom
3.292 0.000 0.000
0.000 3.292 0.000
0.000 0.000 7.020
ATOMIC_POSITIONS crystal
Np 0.500 0.500 0.500
As 0.000 0.000 0.784
As 0.000 0.000 0.216
Ta 0.500 0.500 0.000
! Energy of formation in meV per atom: -346
! Crystal system: tetragonal
! ΔE to the lowest computed polymorph in eV/atom: 0.1234

---

Number 1: total magnetization 0.81 μB per formula unit, Fermi-level density of states 2.7187 states/eV/atom. Number 2: total magnetization 1.02 μB per formula unit, Fermi-level density of states 7.2475 states/eV/atom. Number 3: total magnetization 0.00 μB per formula unit, Fermi-level density of states 0.6906 states/eV/atom. Number 4: total magnetization 0.00 μB per formula unit, Fermi-level density of states 0.7733 states/eV/atom. Number 5: total magnetization 0.50 μB per formula unit, Fermi-level density of states 0.9578 states/eV/atom. Number 6: total magnetization 0.00 μB per formula unit, Fermi-level density of states 0.4257 states/eV/atom. Number 7: total magnetization 4.32 μB per formula unit, Fermi-level density of states 1.5641 states/eV/atom.